Compound: CrSiN2
Source: Alexandria
Functional: PBE
Structure: relaxed

Structure (extended XYZ):
```
4
Lattice="1.5697 0.0000 5.9240 -0.7848 1.3594 5.9240 -0.7848 -1.3594 5.9240" Properties=species:S:1:pos:R:3 pbc="T T T"
N 0.0000 0.0000 1.7855
N 0.0000 0.0000 15.9866
Si 0.0000 0.0000 0.0000
Cr 0.0000 0.0000 8.8861
```

* formation energy without anion corrections: -0.2401 eV/atom
* crystal system: trigonal

---

Compound: OsAu
Source: Alexandria
Functional: PBE
Structure: relaxed

Structure (extended XYZ):
```
4
Lattice="9.7099 0.0023 0.0013 9.3040 2.7780 0.0013 9.3040 1.3605 2.4221" Properties=species:S:1:pos:R:3 pbc="T T T"
Au 0.1020 0.0149 0.0087
Au 6.9775 1.0203 0.5975
Os 21.4177 3.1318 1.8339
Os 13.9798 2.0442 1.1971
```

* distance to the lowest polymorph of the same formula: 0.037 eV per atom
* E_form: 0.642 eV/f.u.
* crystal system: trigonal

---

Sequential size of the total moment output: 0.00, 0.00 μB/f.u.